Entry 1:
Zr2In2Mo: optimized geometry, GGA-PBE.

Results
Raw total energy: -6.222 eV/atom
ΔE to the lowest computed polymorph: 0.394 eV/atom

Unit cell a=3.7905 b=3.7905 c=8.5313 alpha=77.16 beta=77.16 gamma=90.00
Closest atoms and distances in Å follow each position.
Fractional coordinates of all 5 atoms:
Mo: 0.0000 0.0000 0.0000  8 Zr 3.05
Zr: 0.4105 0.4105 0.1790  1 Zr 2.90, 4 Mo 3.05, 4 In 3.22
Zr: 0.5895 0.5895 0.8210  1 Zr 2.90, 4 Mo 3.05, 4 In 3.22
In: 0.7500 0.2500 0.5000  4 In 2.68
In: 0.2500 0.7500 0.5000  4 In 2.68


Entry 2:
LaCeNdTl: optimized geometry, GGA-PBE.

Results
Raw total energy: -4.517 eV/atom

Unit cell a=5.5901 b=5.5901 c=5.5901 alpha=60.00 beta=60.00 gamma=60.00
Closest atoms and distances in Å follow each position.
Fractional coordinates of all 4 atoms:
Tl: 0.2500 0.2500 0.2500  4 Nd 3.42, 4 La 3.42
Nd: 0.5000 0.5000 0.5000  4 Tl 3.42, 4 Ce 3.42
Ce: 0.7500 0.7500 0.7500  4 Nd 3.42, 4 La 3.42
La: 0.0000 0.0000 0.0000  4 Ce 3.42, 4 Tl 3.42


Entry 3:
LiCaRh: optimized geometry, GGA-PBE.

Results
Raw total energy: -3.868 eV/atom
ΔE to the lowest computed polymorph: 0.152 eV/atom

Unit cell a=5.0636 b=5.8898 c=5.8912 alpha=70.33 beta=64.61 gamma=64.62
Closest atoms and distances in Å follow each position.
Fractional coordinates of all 6 atoms:
Li: 0.2109 0.9359 0.2868  2 Rh 2.58
Li: 0.7104 0.6001 0.6231  2 Rh 2.58
Ca: 0.9608 0.7676 0.9550  4 Rh 2.94-2.95
Ca: 0.4608 0.2680 0.4546  4 Rh 2.95
Rh: 0.4608 0.2676 0.9546  2 Rh 2.53, 2 Li 2.58
Rh: 0.9608 0.2676 0.9546  2 Rh 2.53, 2 Li 2.58


Entry 4:
ReRu2W: optimized geometry, GGA-PBE.

Results
Raw total energy: -10.861 eV/atom
ΔE to the lowest computed polymorph: 0.115 eV/atom

Unit cell a=9.2146 b=9.2146 c=9.2146 alpha=17.18 beta=17.18 gamma=17.18
Closest atoms and distances in Å follow each position.
Fractional coordinates of all 4 atoms:
Re: 0.7461 0.7461 0.7461  3 Ru 2.65, 6 Re 2.75, 3 W 2.92
Ru: 0.0014 0.0014 0.0014  3 Re 2.65, 9 Ru 2.75-2.80
Ru: 0.2501 0.2501 0.2501  3 W 2.72, 9 Ru 2.75-2.80
W: 0.5025 0.5025 0.5025  3 Ru 2.72, 6 W 2.75, 3 Re 2.92


Record-wise calculated volume values, in Å³ per cell: 116.37, 123.52, 140.87, 59.55